Material: PuGe2Pd5
Method: DFT, PBE
State: optimized geometry

Geometry as CIF:
```
data_PuGe2Pd5
_chemical_formula_sum 'Pu2 Ge4 Pd10'
_cell_length_a 3.9057
_cell_length_b 7.2714
_cell_length_c 9.9164
_cell_angle_alpha 90.00
_cell_angle_beta 90.00
_cell_angle_gamma 90.00
_space_group_name_H-M_alt 'I m m m'
_space_group_IT_number 71
_space_group_name_Hall '-I 2 2'
loop_
_atom_site_label
_atom_site_fract_x
_atom_site_fract_y
_atom_site_fract_z
Pu1 0.0000 0.0000 0.0000
Ge1 0.0000 0.5000 0.2502
Pd1 0.0000 0.1950 0.3540
Pd2 0.0000 0.5000 0.0000
```

Results
Spin magnetization ... 5.625 μB per formula unit
Calculated formation energy ... -0.54 eV/atom
DFT total energy ... -53.817 eV/f.u.
Crystal system ... orthorhombic